Entry one
Ga3SF | PBE | optimized geometry

Cell lengths 5.266, 5.266, 5.266 Å; angles 90.00, 90.00, 90.00 degrees
Fractional coordinates of all 5 atoms:
S  0.000  0.000  0.000
Ga  0.000  0.500  0.000
Ga  0.000  0.000  0.500
Ga  0.500  0.000  0.000
F  0.500  0.500  0.500

Summary:
* SG: Pm-3m
* N(E_F): 0.461 states/eV per atom
* calculated density: 2.96 g cm⁻³

=====

Entry two
Ga3SF | PBE | optimized geometry

Cell lengths 4.778, 4.778, 4.778 Å; angles 90.00, 90.00, 90.00 degrees
Fractional coordinates of all 5 atoms:
S  0.500  0.500  0.500
Ga  0.000  0.500  0.000
Ga  0.000  0.000  0.500
Ga  0.500  0.000  0.000
F  0.000  0.000  0.000

Summary:
* SG: Pm-3m
* N(E_F): 0.001 states/eV per atom
* calculated density: 3.96 g cm⁻³

=====

Most stable to least stable: entry two, entry one

=====

Entry one
Ga2SF | PBE | optimized geometry

Cell lengths 6.499, 6.499, 5.923 Å; angles 56.72, 56.72, 90.00 degrees
Fractional coordinates of all 8 atoms:
S  0.000  0.000  0.000
S  0.750  0.250  0.500
Ga  0.606  0.125  0.250
Ga  0.144  0.625  0.250
Ga  0.375  0.394  0.750
Ga  0.875  0.856  0.750
F  0.500  0.500  0.000
F  0.250  0.750  0.500

Summary:
* SG: I-42d
* N(E_F): 0.625 states/eV per atom
* calculated density: 4.01 g cm⁻³

=====

Entry two
Ga2SF | PBE | optimized geometry

Cell lengths 4.547, 4.547, 4.547 Å; angles 60.00, 60.00, 60.00 degrees
Fractional coordinates of all 4 atoms:
S  0.500  0.500  0.500
Ga  0.250  0.250  0.250
Ga  0.750  0.750  0.750
F  0.000  0.000  0.000

Summary:
* SG: Fm-3m
* N(E_F): 0.465 states/eV per atom
* calculated density: 4.76 g cm⁻³

=====

Most stable to least stable: entry one, entry two

=====

Entry one
GaSF2 | PBE | optimized geometry

Cell lengths 4.312, 4.312, 4.312 Å; angles 60.00, 60.00, 60.00 degrees
Each line ends with the local moment (μB).
Fractional coordinates of all 4 atoms:
S  0.000  0.000  0.000  1.08
Ga  0.500  0.500  0.500  0.05
F  0.250  0.250  0.250  0.25
F  0.750  0.750  0.750  0.25

Summary:
* SG: Fm-3m
* N(E_F): 0.578 states/eV per atom
* calculated density: 4.09 g cm⁻³

=====

Entry two
GaSF2 | PBE | optimized geometry

Cell lengths 9.586, 9.586, 9.586 Å; angles 17.12, 17.12, 17.12 degrees
Each line ends with the local moment (μB).
Fractional coordinates of all 4 atoms:
S  0.500  0.500  0.500  0.34
Ga  0.000  0.000  0.000  -0.02
F  0.937  0.937  0.937  -0.01
F  0.063  0.063  0.063  -0.01

Summary:
* SG: R-3m
* N(E_F): 0.586 states/eV per atom
* calculated density: 3.49 g cm⁻³

=====

Most stable to least stable: entry two, entry one

=====

Entry one
GaSb2F | PBE | optimized geometry

Cell lengths 4.498, 4.498, 9.787 Å; angles 76.71, 76.71, 90.00 degrees
Fractional coordinates of all 8 atoms:
Sb  0.583  0.125  0.250
Sb  0.167  0.625  0.250
Sb  0.375  0.417  0.750
Sb  0.875  0.833  0.750
Ga  0.000  0.000  0.000
Ga  0.750  0.250  0.500
F  0.500  0.500  0.000
F  0.250  0.750  0.500

Summary:
* SG: I-42d
* N(E_F): 0.219 states/eV per atom
* calculated density: 5.89 g cm⁻³

=====

Entry two
GaSb2F | PBE | optimized geometry

Cell lengths 4.823, 4.823, 4.823 Å; angles 60.00, 60.00, 60.00 degrees
Fractional coordinates of all 4 atoms:
Sb  0.250  0.250  0.250
Sb  0.750  0.750  0.750
Ga  0.500  0.500  0.500
F  0.000  0.000  0.000

Summary:
* SG: Fm-3m
* N(E_F): 0.399 states/eV per atom
* calculated density: 6.95 g cm⁻³

=====

Most stable to least stable: entry two, entry one

=====

Entry one
GaSbF2 | PBE | optimized geometry

Cell lengths 4.524, 4.524, 4.524 Å; angles 60.00, 60.00, 60.00 degrees
Fractional coordinates of all 4 atoms:
Sb  0.500  0.500  0.500
Ga  0.000  0.000  0.000
F  0.250  0.250  0.250
F  0.750  0.750  0.750

Summary:
* SG: Fm-3m
* N(E_F): 0.958 states/eV per atom
* calculated density: 5.82 g cm⁻³

=====

Entry two
GaSbF2 | PBE | optimized geometry

Cell lengths 6.237, 6.237, 6.263 Å; angles 60.14, 60.14, 90.00 degrees
Fractional coordinates of all 8 atoms:
Sb  0.000  0.000  0.000
Sb  0.750  0.250  0.500
Ga  0.500  0.500  0.000
Ga  0.250  0.750  0.500
F  0.412  0.125  0.250
F  0.338  0.625  0.250
F  0.375  0.588  0.750
F  0.875  0.662  0.750

Summary:
* SG: I-42d
* N(E_F): 0.011 states/eV per atom
* calculated density: 4.41 g cm⁻³

=====

Entry three
GaSbF2 | PBE | optimized geometry

Cell lengths 8.459, 8.459, 8.459 Å; angles 21.07, 21.07, 21.07 degrees
Fractional coordinates of all 4 atoms:
Sb  0.500  0.500  0.500
Ga  0.000  0.000  0.000
F  0.911  0.911  0.911
F  0.089  0.089  0.089

Summary:
* SG: R-3m
* N(E_F): 0.226 states/eV per atom
* calculated density: 5.56 g cm⁻³

=====

Entry four
GaSbF2 | PBE | optimized geometry

Cell lengths 7.985, 7.985, 7.985 Å; angles 24.83, 24.83, 24.83 degrees
Fractional coordinates of all 4 atoms:
Sb  0.000  0.000  0.000
Ga  0.500  0.500  0.500
F  0.904  0.904  0.904
F  0.096  0.096  0.096

Summary:
* SG: R-3m
* N(E_F): 0.156 states/eV per atom
* calculated density: 4.83 g cm⁻³

=====

Most stable to least stable: entry four, entry three, entry two, entry one

=====

Entry one
Ga2Sb2F | PBE | optimized geometry

Cell lengths 6.285, 6.285, 5.433 Å; angles 90.00, 90.00, 90.00 degrees
Fractional coordinates of all 10 atoms:
Sb  0.252  0.752  0.500
Sb  0.752  0.748  0.500
Sb  0.748  0.248  0.500
Sb  0.248  0.252  0.500
Ga  0.348  0.848  0.000
Ga  0.848  0.652  0.000
Ga  0.652  0.152  0.000
Ga  0.152  0.348  0.000
F  0.000  0.000  0.000
F  0.500  0.500  0.000

Summary:
* SG: P4/mbm
* N(E_F): 0.269 states/eV per atom
* calculated density: 6.22 g cm⁻³

=====

Entry two
Ga2Sb2F | PBE | optimized geometry

Cell lengths 4.685, 4.685, 6.392 Å; angles 68.50, 68.50, 90.00 degrees
Fractional coordinates of all 5 atoms:
Sb  0.750  0.250  0.500
Sb  0.250  0.750  0.500
Ga  0.391  0.391  0.217
Ga  0.609  0.609  0.783
F  0.000  0.000  0.000

Summary:
* SG: I4/mmm
* N(E_F): 0.299 states/eV per atom
* calculated density: 5.56 g cm⁻³

=====

Most stable to least stable: entry one, entry two

=====

Entry one
Ga3SbF | PBE | optimized geometry

Cell lengths 5.501, 5.501, 5.501 Å; angles 90.00, 90.00, 90.00 degrees
Fractional coordinates of all 5 atoms:
Sb  0.000  0.000  0.000
Ga  0.000  0.500  0.000
Ga  0.000  0.000  0.500
Ga  0.500  0.000  0.000
F  0.500  0.500  0.500

Summary:
* SG: Pm-3m
* N(E_F): 0.835 states/eV per atom
* calculated density: 3.49 g cm⁻³

=====

Entry two
Ga3SbF | PBE | optimized geometry

Cell lengths 4.757, 4.757, 4.757 Å; angles 90.00, 90.00, 90.00 degrees
Fractional coordinates of all 5 atoms:
Sb  0.500  0.500  0.500
Ga  0.000  0.500  0.000
Ga  0.000  0.000  0.500
Ga  0.500  0.000  0.000
F  0.000  0.000  0.000

Summary:
* SG: Pm-3m
* N(E_F): 0.584 states/eV per atom
* calculated density: 5.40 g cm⁻³

=====

Most stable to least stable: entry two, entry one

=====

Entry one
GaSb2TeF | PBE | optimized geometry

Cell lengths 4.808, 4.808, 5.480 Å; angles 90.00, 90.00, 90.00 degrees
Fractional coordinates of all 5 atoms:
Sb  0.000  0.500  0.000
Sb  0.500  0.000  0.000
Te  0.000  0.000  0.500
Ga  0.500  0.500  0.500
F  0.000  0.000  0.000

Summary:
* SG: P4/mmm
* N(E_F): 0.577 states/eV per atom
* calculated density: 6.03 g cm⁻³

=====

Entry two
GaSb2TeF | PBE | optimized geometry

Cell lengths 5.303, 5.303, 5.299 Å; angles 90.00, 90.00, 90.00 degrees
Fractional coordinates of all 5 atoms:
Sb  0.000  0.500  0.000
Sb  0.500  0.000  0.000
Te  0.000  0.000  0.500
Ga  0.000  0.000  0.000
F  0.500  0.500  0.500

Summary:
* SG: P4/mmm
* N(E_F): 0.646 states/eV per atom
* calculated density: 5.12 g cm⁻³

=====

Most stable to least stable: entry one, entry two